Record 1
Below is an optimized crystal structure of ZnOsRuW, with properties calculated at the PBE level.

```
4
Lattice="4.3518 0.0000 0.0000 2.1759 3.7688 0.0000 2.1759 1.2563 3.5532" Properties=species:S:1:pos:R:3 pbc="T T T"
Zn 0.0000 0.0000 0.0000
Ru 6.5277 3.7688 2.6649
Os 2.1759 1.2563 0.8883
W 4.3518 2.5125 1.7766
```

Output
N(E_F) ... 1.14 states/eV per cell
Formation enthalpy at 0 K ... -0.024 eV per atom



Record 2
Below is an optimized crystal structure of V3Ge, with properties calculated at the PBE level.

```
4
Lattice="-3.0179 0.8105 -2.8732 -1.5806 -3.1513 -2.3645 -3.9695 -1.3565 0.6508" Properties=species:S:1:pos:R:3 pbc="T T T"
Ge -4.2840 -1.8487 -2.2935
V -2.1420 -0.9243 -1.1467
V 0.0000 0.0000 0.0000
V -6.4260 -2.7730 -3.4402
```

Output
N(E_F) ... 4.34 states/eV per cell
Formation enthalpy at 0 K ... -0.168 eV per atom



Record 3
Below is an optimized crystal structure of Cs3MnCl7, with properties calculated at the PBE level.

```
22
Lattice="7.2964 0.0000 0.0000 0.0000 10.0855 0.0000 0.0000 0.0000 10.0855" Properties=species:S:1:pos:R:3 pbc="T T T"
Cs 3.6482 8.2608 3.2181
Cs 3.6482 1.8247 6.8675
Cs 0.0000 0.0000 0.0000
Cs 3.6482 6.8675 8.2608
Mn 0.0000 5.0428 0.0000
Cs 0.0000 5.0428 5.0428
Cl 5.6724 8.9439 6.1844
Cl 0.0000 8.4650 3.4223
Cl 3.6482 5.0428 5.0428
Cl 1.6240 3.9011 8.9439
Cl 1.6241 6.1844 1.1417
Mn 0.0000 0.0000 5.0428
Cs 3.6482 3.2181 1.8247
Cl 5.6724 6.1844 1.1417
Cl 5.6724 1.1417 3.9011
Cl 0.0000 6.6633 8.4650
Cl 0.0000 3.4223 1.6205
Cl 1.6240 8.9439 6.1844
Cl 1.6240 1.1417 3.9011
Cl 5.6724 3.9011 8.9439
Cl 3.6482 0.0000 0.0000
Cl 0.0000 1.6205 6.6633
```



Record 4
Below is an optimized crystal structure of Tl4Tc5, with properties calculated at the PBE level.

```
18
Lattice="-5.6178 1.0175 5.9726 6.7748 -4.5095 1.4257 2.6702 4.5599 1.7347" Properties=species:S:1:pos:R:3 pbc="T T T"
Tc 5.3770 -1.9948 1.4247
Tl 1.3351 2.2800 0.8673
Tc 4.0680 2.0452 1.7356
Tl 3.1525 -0.5141 0.9566
Tl -1.3930 1.5132 2.6243
Tc 3.9791 -0.3872 3.8086
Tl 6.2926 0.5644 2.2038
Tl -1.5546 4.0643 5.0829
Tc 2.6440 -2.6672 2.9413
Tc 1.0203 0.0754 2.6891
Tc 0.2900 3.7302 3.1218
Tl 2.4270 2.1391 4.0146
Tc -0.1518 1.4551 5.3243
Tc -1.4869 -0.8248 4.4569
Tl 0.0000 0.0000 0.0000
Tc 2.8069 0.9925 6.4438
Tc -3.2376 1.8473 4.5854
Tl 1.4002 -1.0712 5.1183
```

Output
N(E_F) ... 23.14 states/eV per cell
Formation enthalpy at 0 K ... 0.923 eV per atom



Record 5
Below is an optimized crystal structure of TbCu3, with properties calculated at the PBE level.

```
4
Lattice="3.6329 0.0000 0.0000 0.0000 3.6381 0.0000 0.0000 0.0000 5.3326" Properties=species:S:1:pos:R:3 pbc="T T T"
Cu 0.0000 0.0000 4.7071
Tb 0.0000 1.8191 1.7479
Cu 1.8165 0.0000 3.0603
Cu 1.8165 1.8191 4.7050
```

Output
N(E_F) ... 0.93 states/eV per cell
Formation enthalpy at 0 K ... 0.007 eV per atom



In order of appearance, M_tot = 0.00, 0.84, 3.13, 4.59, 0.00 μB per formula unit.
In order of appearance, E_tot = -34.83, -32.64, -41.43, -52.99, -16.89 eV per formula unit.